No. 1
Nd3GeSCl | PBE | optimized geometry

* E_tot: -66.79 eV per cell
* DOS at the Fermi energy: 7.7 states/eV per cell
* magnetization: 0.0 μB per formula unit
* ΔE_f (raw): -1.4169 eV per atom
* V: 323.9 Å³ per cell

Unit cell a=7.649 b=4.069 c=10.928 alpha=90.00 beta=107.80 gamma=90.00
Element x y z (fractional)
Nd: 0.173 0.250 0.149
Nd: 0.204 0.250 0.491
Nd: 0.310 0.750 0.838
Nd: 0.690 0.250 0.162
Nd: 0.796 0.750 0.509
Nd: 0.827 0.750 0.851
Ge: 0.008 0.250 0.699
Ge: 0.992 0.750 0.301
S: 0.408 0.750 0.108
S: 0.592 0.250 0.892
Cl: 0.474 0.750 0.623
Cl: 0.526 0.250 0.377

=====

No. 2
PmAlCoCu | PBE | optimized geometry

* E_tot: -20.22 eV per cell
* DFT formation energy: -0.131 eV per atom
* DOS at the Fermi energy: 3.3 states/eV per cell
* magnetization: 0.5 μB per formula unit
* V: 68.0 Å³ per cell

Unit cell a=4.581 b=4.581 c=4.581 alpha=60.00 beta=60.00 gamma=60.00
Element x y z (fractional)
Pm: 0.000 0.000 0.000
Al: 0.500 0.500 0.500
Co: 0.250 0.250 0.250
Cu: 0.750 0.750 0.750